A relaxed structure of RbCdPb2F. Source: the Alexandria database, functional PBE.

Cell lengths 5.1758, 6.0066, 5.1758 Å; angles 90.00, 90.00, 90.00 degrees
Sites, in units of the cell vectors:
Pb1 0.0000 0.0000 0.5000
Pb2 0.5000 0.0000 0.0000
F1 0.0000 0.0000 0.0000
Rb1 0.5000 0.5000 0.5000
Cd1 0.0000 0.5000 0.0000

Values from the calculation:
Formation energy without anion corrections in meV/atom: -445
V in Å³ per cell: 161


A relaxed structure of Rb2CdPbF6. Source: the Alexandria database, functional PBE.

Cell lengths 6.6106, 6.6106, 6.6119 Å; angles 60.01, 60.01, 90.00 degrees
Sites, in units of the cell vectors:
Pb1 0.0000 0.0000 0.0000
F1 0.2589 0.2589 0.4821
F2 0.7411 0.7411 0.5179
F3 0.2590 0.2590 0.0000
F4 0.7410 0.7410 0.0000
F5 0.7410 0.2590 0.0000
F6 0.2590 0.7410 0.0000
Rb1 0.7500 0.2500 0.5000
Rb2 0.2500 0.7500 0.5000
Cd1 0.5000 0.5000 0.0000

Values from the calculation:
Formation energy without anion corrections in meV/atom: -2478
V in Å³ per cell: 204


A relaxed structure of Rb3Cd2PbF9. Source: the Alexandria database, functional PBE.

Cell lengths 6.4935, 6.4935, 8.0916 Å; angles 90.00, 90.00, 120.00 degrees
Sites, in units of the cell vectors:
Rb1 0.3333 0.6667 0.6902
Rb2 0.0000 0.0000 0.0000
Rb3 0.6667 0.3333 0.3098
Cd1 0.3333 0.6667 0.1588
Cd2 0.6667 0.3333 0.8412
Pb1 0.0000 0.0000 0.5000
F1 0.8297 0.1703 0.6823
F2 0.8297 0.6594 0.6823
F3 0.3406 0.1703 0.6823
F4 0.6594 0.8297 0.3177
F5 0.1703 0.3406 0.3177
F6 0.1703 0.8297 0.3177
F7 0.5000 0.0000 0.0000
F8 0.0000 0.5000 0.0000
F9 0.5000 0.5000 0.0000

Values from the calculation:
Formation energy without anion corrections in meV/atom: -2470
V in Å³ per cell: 295


A relaxed structure of Cd2RuPbF. Source: the Alexandria database, functional PBE.

Cell lengths 5.3970, 4.0013, 5.3970 Å; angles 90.00, 90.00, 90.00 degrees
Sites, in units of the cell vectors:
Pb1 0.5000 0.5000 0.5000
Ru1 0.0000 0.0000 0.0000
F1 0.0000 0.5000 0.0000
Cd1 0.0000 0.0000 0.5000
Cd2 0.5000 0.0000 0.0000

Values from the calculation:
Formation energy without anion corrections in meV/atom: -7
V in Å³ per cell: 117